Below is crystalline RbMnSeO6 at its relaxed geometry, with properties calculated at the PBE+U level.

Cell and atoms, written as CIF:
```
data_RbMnSeO6
_cell_length_a 4.9624
_cell_length_b 4.9625
_cell_length_c 6.4861
_cell_angle_alpha 90.00
_cell_angle_beta 90.00
_cell_angle_gamma 60.00
_symmetry_space_group_name_H-M 'P 1'
_symmetry_Int_Tables_number 1
loop_
_symmetry_equiv_pos_as_xyz
'x,y,z'
loop_
_atom_site_label
_atom_site_type_symbol
_atom_site_fract_x
_atom_site_fract_y
_atom_site_fract_z
O1 O 0.3759 0.0142 0.6624
O2 O 0.3759 0.6099 0.3375
O3 O 0.0141 0.6099 0.6624
O4 O 0.6099 0.0142 0.3375
O5 O 0.0142 0.3759 0.3375
O6 O 0.6098 0.3760 0.6625
Mn1 Mn 0.6667 0.6666 0.5000
Rb1 Rb 0.0000 0.0000 0.0000
Se1 Se 0.3333 0.3334 0.5000
```

Results
For the magnetic moment, the calculation gives 2.0 μB/f.u. The density of states at the Fermi level comes out at 3.3 states/eV/cell. The calculation puts the total energy at -5.60 eV per atom.